No. 1
Pm2BeRh after structural relaxation, computed with PBE.

a b c (Å): 3.564 3.564 6.817
angles (deg): 90.00 90.00 90.00
Fractional coordinates of all 4 atoms:
Pm 0.000 0.000 0.250
Pm 0.000 0.000 0.750
Be 0.500 0.500 0.000
Rh 0.500 0.500 0.500

Properties
N(E_F) (states/eV per cell): 2.23
DFT formation energy (eV/atom): -0.2505

No. 2
Pm2Be4Rh5 after structural relaxation, computed with PBE.

a b c (Å): 7.793 6.801 5.558
angles (deg): 77.46 58.42 44.12
Fractional coordinates of all 11 atoms:
Pm 0.137 0.137 0.863
Pm 0.863 0.863 0.137
Be 0.208 0.534 0.466
Be 0.466 0.792 0.208
Be 0.534 0.208 0.792
Be 0.792 0.466 0.534
Rh 0.000 0.000 0.500
Rh 0.250 0.250 0.250
Rh 0.500 0.500 0.000
Rh 0.500 0.500 0.500
Rh 0.750 0.750 0.750

Properties
N(E_F) (states/eV per cell): 5.46
DFT formation energy (eV/atom): -0.6435

No. 3
Pm2BeRh after structural relaxation, computed with PBE.

a b c (Å): 7.467 7.467 7.467
angles (deg): 31.02 31.02 31.02
Fractional coordinates of all 4 atoms:
Pm 0.000 0.000 0.000
Pm 0.179 0.179 0.179
Be 0.422 0.422 0.422
Rh 0.757 0.757 0.757

Properties
N(E_F) (states/eV per cell): 4.08
DFT formation energy (eV/atom): -0.4009

No. 4
Pm2BeRh after structural relaxation, computed with PBE.

a b c (Å): 4.986 4.986 4.986
angles (deg): 60.00 60.00 60.00
Fractional coordinates of all 4 atoms:
Pm 0.250 0.250 0.250
Pm 0.750 0.750 0.750
Be 0.000 0.000 0.000
Rh 0.500 0.500 0.500

Properties
N(E_F) (states/eV per cell): 2.49
DFT formation energy (eV/atom): -0.2359

No. 5
PmBe5Rh after structural relaxation, computed with PBE.

a b c (Å): 7.402 4.684 9.687
angles (deg): 90.00 90.00 90.00
Fractional coordinates of all 28 atoms:
Pm 0.237 0.250 0.059
Pm 0.263 0.750 0.559
Pm 0.737 0.250 0.441
Pm 0.763 0.750 0.941
Be 0.058 0.750 0.123
Be 0.068 0.005 0.315
Be 0.068 0.495 0.315
Be 0.096 0.250 0.515
Be 0.181 0.250 0.751
Be 0.319 0.750 0.251
Be 0.404 0.750 0.015
Be 0.432 0.505 0.815
Be 0.432 0.995 0.815
Be 0.442 0.250 0.623
Be 0.558 0.750 0.377
Be 0.568 0.005 0.185
Be 0.568 0.495 0.185
Be 0.596 0.250 0.985
Be 0.681 0.250 0.749
Be 0.819 0.750 0.249
Be 0.904 0.750 0.485
Be 0.932 0.505 0.685
Be 0.932 0.995 0.685
Be 0.942 0.250 0.877
Rh 0.136 0.750 0.856
Rh 0.364 0.250 0.356
Rh 0.636 0.750 0.644
Rh 0.864 0.250 0.144

Properties
N(E_F) (states/eV per cell): 11.20
DFT formation energy (eV/atom): -0.2673

No. 6
Pm3BeRh3 after structural relaxation, computed with PBE.

a b c (Å): 5.768 5.768 14.275
angles (deg): 110.12 110.12 41.34
Fractional coordinates of all 14 atoms:
Pm 0.025 0.025 0.385
Pm 0.104 0.104 0.922
Pm 0.246 0.246 0.231
Pm 0.754 0.754 0.769
Pm 0.896 0.896 0.078
Pm 0.975 0.975 0.615
Be 0.265 0.265 0.602
Be 0.735 0.735 0.398
Rh 0.324 0.324 0.459
Rh 0.374 0.374 0.921
Rh 0.457 0.457 0.755
Rh 0.543 0.543 0.245
Rh 0.626 0.626 0.079
Rh 0.676 0.676 0.541

Properties
N(E_F) (states/eV per cell): 6.97
DFT formation energy (eV/atom): -0.6427

No. 7
PmBeRh after structural relaxation, computed with PBE.

a b c (Å): 3.950 3.950 4.147
angles (deg): 90.00 90.00 120.00
Fractional coordinates of all 3 atoms:
Pm 0.000 0.000 0.000
Be 0.333 0.667 0.500
Rh 0.667 0.333 0.500

Properties
N(E_F) (states/eV per cell): 1.19
DFT formation energy (eV/atom): -0.5379

No. 8
PmBeRh after structural relaxation, computed with PBE.

a b c (Å): 5.665 5.665 4.068
angles (deg): 90.00 90.00 106.60
Fractional coordinates of all 6 atoms:
Pm 0.198 0.802 0.000
Pm 0.802 0.198 0.000
Be 0.333 0.333 0.500
Be 0.667 0.667 0.500
Rh 0.000 0.000 0.500
Rh 0.500 0.500 0.000

Properties
N(E_F) (states/eV per cell): 4.03
DFT formation energy (eV/atom): -0.2074

No. 9
PmBeRh2 after structural relaxation, computed with PBE.

a b c (Å): 8.208 8.208 4.126
angles (deg): 90.00 90.00 150.53
Fractional coordinates of all 8 atoms:
Pm 0.141 0.859 0.000
Pm 0.859 0.141 0.000
Be 0.432 0.568 0.500
Be 0.568 0.432 0.500
Rh 0.000 0.000 0.500
Rh 0.295 0.705 0.500
Rh 0.500 0.500 0.000
Rh 0.705 0.295 0.500

Properties
N(E_F) (states/eV per cell): 3.02
DFT formation energy (eV/atom): -0.6038

No. 10
PmBe4Rh after structural relaxation, computed with PBE.

a b c (Å): 4.759 4.759 4.759
angles (deg): 60.00 60.00 60.00
Fractional coordinates of all 6 atoms:
Pm 0.000 0.000 0.000
Be 0.139 0.620 0.620
Be 0.620 0.139 0.620
Be 0.620 0.620 0.139
Be 0.620 0.620 0.620
Rh 0.250 0.250 0.250

Properties
DFT formation energy (eV/atom): -0.2119

No. 11
PmBeRh3 after structural relaxation, computed with PBE.

a b c (Å): 4.300 4.300 4.300
angles (deg): 90.00 90.00 90.00
Fractional coordinates of all 5 atoms:
Pm 0.000 0.000 0.000
Be 0.500 0.500 0.500
Rh 0.000 0.500 0.500
Rh 0.500 0.000 0.500
Rh 0.500 0.500 0.000

Properties
N(E_F) (states/eV per cell): 3.06
DFT formation energy (eV/atom): -0.5377

No. 12
PmBeRh after structural relaxation, computed with PBE.

a b c (Å): 6.926 4.203 7.416
angles (deg): 90.00 90.00 90.00
Fractional coordinates of all 12 atoms:
Pm 0.010 0.250 0.193
Pm 0.490 0.750 0.693
Pm 0.510 0.250 0.307
Pm 0.990 0.750 0.807
Be 0.175 0.250 0.581
Be 0.325 0.750 0.081
Be 0.675 0.250 0.919
Be 0.825 0.750 0.419
Rh 0.165 0.750 0.435
Rh 0.335 0.250 0.935
Rh 0.665 0.750 0.065
Rh 0.835 0.250 0.565

Properties
N(E_F) (states/eV per cell): 6.46
DFT formation energy (eV/atom): -0.5098

Which formula does entry 8 have? PmBeRh